First-principles (PBE) data for an optimized crystal structure of TePbSe2, as listed in the Alexandria database.

Calculated values
Energy above the most stable polymorph in this dataset (kJ per mole of atoms): 19.5
Raw formation energy (eV per atom): -0.025
Crystal system: tetragonal

abc: 8.033 8.033 8.033
angles: 150.40 150.40 42.35
Fractional coordinates of all 4 atoms:
Te 0.000 0.000 0.000
Pb 0.250 0.750 0.500
Se 0.500 0.500 0.000
Se 0.750 0.250 0.500